Below is MnSiGeF2 after structural relaxation, with properties calculated at the GGA+U level.

Computed properties:
The density of states at the Fermi level is 0.223 states/eV per atom. The value obtained for the energy is -5.056 eV per atom.

Unit cell a=4.065 b=5.226 c=4.065 alpha=90.00 beta=90.00 gamma=90.00
Positions (direct):
Ge (0.000, 0.000, 0.000)
Mn (0.500, 0.500, 0.500)
Si (0.000, 0.500, 0.000)
F (0.000, 0.000, 0.500)
F (0.500, 0.000, 0.000)



Below is Mn2TlGeF after structural relaxation, with properties calculated at the GGA+U level.

Computed properties:
The density of states at the Fermi level is 0.437 states/eV per atom. The value obtained for the energy is -4.842 eV per atom.

Unit cell a=5.130 b=5.130 c=4.235 alpha=90.00 beta=90.00 gamma=90.00
Positions (direct):
Tl (0.500, 0.500, 0.500)
Mn (0.000, 0.500, 0.000)
Mn (0.500, 0.000, 0.000)
Ge (0.000, 0.000, 0.000)
F (0.000, 0.000, 0.500)



Below is YMnGe2F after structural relaxation, with properties calculated at the GGA+U level.

Computed properties:
The density of states at the Fermi level is 0.237 states/eV per atom. The value obtained for the energy is -5.494 eV per atom.

Unit cell a=4.844 b=4.215 c=4.844 alpha=90.00 beta=90.00 gamma=90.00
Positions (direct):
Y (0.500, 0.500, 0.500)
Ge (0.000, 0.000, 0.500)
Ge (0.500, 0.000, 0.000)
Mn (0.000, 0.500, 0.000)
F (0.000, 0.000, 0.000)



Below is MnZnGeF2 after structural relaxation, with properties calculated at the GGA+U level.

Computed properties:
The density of states at the Fermi level is 0.300 states/eV per atom. The value obtained for the energy is -4.322 eV per atom.

Unit cell a=3.878 b=5.930 c=3.878 alpha=90.00 beta=90.00 gamma=90.00
Positions (direct):
Ge (0.000, 0.500, 0.000)
Mn (0.500, 0.500, 0.500)
Zn (0.000, 0.000, 0.000)
F (0.000, 0.000, 0.500)
F (0.500, 0.000, 0.000)



Below is GeMo2F after structural relaxation, with properties calculated at the GGA+U level.

Computed properties:
The density of states at the Fermi level is 0.540 states/eV per atom. The value obtained for the energy is -4.380 eV per atom.

Unit cell a=3.917 b=3.917 c=8.933 alpha=77.33 beta=77.33 gamma=90.00
Positions (direct):
Mo (0.626, 0.125, 0.250)
Mo (0.124, 0.625, 0.250)
Mo (0.375, 0.374, 0.750)
Mo (0.875, 0.876, 0.750)
Ge (0.000, 0.000, 0.000)
Ge (0.750, 0.250, 0.500)
F (0.500, 0.500, 0.000)
F (0.250, 0.750, 0.500)



Below is GeMo2F2 after structural relaxation, with properties calculated at the GGA+U level.

Computed properties:
The density of states at the Fermi level is 0.146 states/eV per atom. The value obtained for the energy is -5.036 eV per atom.

Unit cell a=3.509 b=3.509 c=6.331 alpha=73.91 beta=73.91 gamma=90.00
Positions (direct):
Mo (0.388, 0.388, 0.225)
Mo (0.612, 0.612, 0.775)
Ge (0.000, 0.000, 0.000)
F (0.750, 0.250, 0.500)
F (0.250, 0.750, 0.500)



| no. | size of the total moment (μB/atom) |
| --- | --- |
| 1 | 0.864 |
| 2 | 1.768 |
| 3 | 0.986 |
| 4 | 0.708 |
| 5 | 0.000 |
| 6 | 0.799 |